# 1
Entry from Alexandria via LeMat-Bulk: PdAuBr2 after structural relaxation (PBE).

Values from the calculation:
- V (Å³/atom) = 28.24
- theoretical density (Mg/m³) = 6.81
- total magnetization (μB/atom) = 0.246
- formation energy without anion corrections (eV per atom) = 0.07
- final energy (eV/atom) = -2.887

Cell: 8.015 8.015 8.015 Å, 29.85 29.85 29.85°
Positions (direct):
Pd1 0.500 0.500 0.500
Br1 0.893 0.893 0.893
Au1 0.000 0.000 0.000
Br2 0.107 0.107 0.107

***

# 2
Entry from Alexandria via LeMat-Bulk: TbTm3Pb2 after structural relaxation (PBE).

Values from the calculation:
- V (Å³/atom) = 28.92
- theoretical density (Mg/m³) = 10.34
- formation enthalpy at 0 K (eV per formula unit) = -2.298
- total magnetization (μB/atom) = 0.000
- final energy (eV/atom) = -4.627

Cell: 4.531 4.531 8.452 Å, 90.00 90.00 90.00°
Positions (direct):
Tm1 0.000 0.500 0.661
Tm2 0.500 0.000 0.339
Pb1 0.000 0.500 0.288
Tm3 0.000 0.000 0.000
Tb1 0.500 0.500 0.000
Pb2 0.500 0.000 0.712

***

# 3
Entry from Alexandria via LeMat-Bulk: Mg2FePt after structural relaxation (PBE).

Values from the calculation:
- V (Å³/atom) = 16.26
- theoretical density (Mg/m³) = 7.65
- formation enthalpy at 0 K (eV per formula unit) = -0.946
- total magnetization (μB/atom) = 0.710
- final energy (eV/atom) = -4.660

Cell: 5.286 5.286 5.286 Å, 144.27 130.30 62.70°
Positions (direct):
Mg1 0.734 0.234 0.500
Mg2 0.012 0.012 0.000
Pt1 0.486 0.486 0.000
Fe1 0.268 0.768 0.500

***

# 4
Entry from Alexandria via LeMat-Bulk: CrIrPt2 after structural relaxation (PBE).

Values from the calculation:
- V (Å³/atom) = 14.39
- theoretical density (Mg/m³) = 18.30
- formation enthalpy at 0 K (eV per formula unit) = -0.753
- total magnetization (μB/atom) = 0.000
- final energy (eV/atom) = -7.830

Cell: 2.724 2.724 7.759 Å, 90.00 90.00 90.00°
Positions (direct):
Cr1 0.000 0.000 0.510
Pt1 0.000 0.000 0.995
Ir1 0.500 0.500 0.724
Pt2 0.500 0.500 0.271

***

# 5
Entry from Alexandria via LeMat-Bulk: ZnPRu2 after structural relaxation (PBE).

Values from the calculation:
- V (Å³/atom) = 13.17
- theoretical density (Mg/m³) = 9.41
- formation enthalpy at 0 K (eV per formula unit) = -1.028
- total magnetization (μB/atom) = 0.000
- final energy (eV/atom) = -6.566

Cell: 2.921 2.921 6.175 Å, 90.00 90.00 90.00°
Positions (direct):
P1 0.500 0.500 0.750
Ru1 0.000 0.000 0.973
Ru2 0.000 0.000 0.527
Zn1 0.500 0.500 0.250

***

# 6
Entry from Alexandria via LeMat-Bulk: Er3Tm9Th2 after structural relaxation (PBE).

Values from the calculation:
- V (Å³/atom) = 32.17
- theoretical density (Mg/m³) = 9.17
- formation enthalpy at 0 K (eV per formula unit) = 4.708
- total magnetization (μB/atom) = 0.000
- final energy (eV/atom) = -4.576

Cell: 10.002 10.002 10.002 Å, 148.57 118.90 70.33°
Positions (direct):
Er1 0.679 0.679 0.000
Er2 0.000 0.000 0.000
Er3 0.321 0.321 0.000
Tm1 0.144 0.875 0.269
Tm2 0.658 0.310 0.347
Tm3 0.342 0.690 0.653
Tm4 0.856 0.125 0.731
Tm5 0.606 0.875 0.731
Tm6 0.500 0.000 0.500
Tm7 0.037 0.690 0.347
Tm8 0.394 0.125 0.269
Th1 0.268 0.500 0.768
Tm9 0.963 0.310 0.653
Th2 0.732 0.500 0.232

***

# 7
Entry from Alexandria via LeMat-Bulk: ErBiAu after structural relaxation (PBE).

Values from the calculation:
- V (Å³/atom) = 25.77
- theoretical density (Mg/m³) = 12.31
- formation enthalpy at 0 K (eV per formula unit) = -1.719
- total magnetization (μB/atom) = 0.000
- final energy (eV/atom) = -4.480

Cell: 3.643 3.643 6.370 Å, 106.61 106.61 90.00°
Positions (direct):
Au1 0.933 0.933 0.866
Er1 0.309 0.309 0.619
Bi1 0.608 0.608 0.215

***

# 8
Entry from Alexandria via LeMat-Bulk: RbSr2YAu after structural relaxation (PBE).

Values from the calculation:
- V (Å³/atom) = 47.42
- theoretical density (Mg/m³) = 3.83
- formation enthalpy at 0 K (eV per formula unit) = 0.751
- total magnetization (μB/atom) = 0.000
- final energy (eV/atom) = -2.664

Cell: 6.101 6.371 6.101 Å, 90.00 90.00 90.00°
Positions (direct):
Y1 0.500 0.500 0.500
Au1 0.000 0.000 0.000
Rb1 0.000 0.500 0.000
Sr1 0.500 0.000 0.000
Sr2 0.000 0.000 0.500

***

# 9
Entry from Alexandria via LeMat-Bulk: Fe3Pt3Rh after structural relaxation (PBE).

Values from the calculation:
- V (Å³/atom) = 14.98
- theoretical density (Mg/m³) = 13.55
- formation enthalpy at 0 K (eV per formula unit) = 0.086
- total magnetization (μB/atom) = 1.594
- final energy (eV/atom) = -7.254

Cell: 3.741 10.800 10.382 Å, 90.00 90.00 90.00°
Positions (direct):
Fe1 0.250 0.269 0.186
Pt1 0.750 0.437 0.572
Pt2 0.250 0.334 0.850
Rh1 0.750 0.909 0.189
Fe2 0.750 0.192 0.966
Fe3 0.750 0.489 0.811
Pt3 0.750 0.409 0.051
Fe4 0.250 0.308 0.466
Pt4 0.750 0.666 0.150
Pt5 0.250 0.834 0.650
Fe5 0.750 0.989 0.689
Pt6 0.250 0.091 0.551
Fe6 0.250 0.769 0.314
Fe7 0.250 0.511 0.189
Fe8 0.750 0.731 0.814
Fe9 0.750 0.231 0.686
Fe10 0.750 0.692 0.534
Rh2 0.250 0.591 0.689
Pt7 0.750 0.166 0.350
Pt8 0.750 0.937 0.928
Pt9 0.250 0.063 0.072
Pt10 0.250 0.563 0.428
Rh3 0.250 0.091 0.811
Pt11 0.250 0.591 0.949
Fe11 0.250 0.808 0.034
Fe12 0.250 0.011 0.311
Pt12 0.750 0.909 0.449
Rh4 0.750 0.409 0.311

***

# 10
Entry from Alexandria via LeMat-Bulk: KRePt after structural relaxation (PBE).

Values from the calculation:
- V (Å³/atom) = 28.38
- theoretical density (Mg/m³) = 8.20
- formation enthalpy at 0 K (eV per formula unit) = 2.539
- total magnetization (μB/atom) = 0.149
- final energy (eV/atom) = -5.682

Cell: 4.198 4.198 11.159 Å, 90.00 90.00 120.00°
Positions (direct):
Re1 0.333 0.667 0.250
K1 0.000 0.000 0.500
Pt1 0.667 0.333 0.250
K2 0.000 0.000 0.000
Re2 0.667 0.333 0.750
Pt2 0.333 0.667 0.750

***

# 11
Entry from Alexandria via LeMat-Bulk: ZrCu3S after structural relaxation (PBE).

Values from the calculation:
- V (Å³/atom) = 16.53
- theoretical density (Mg/m³) = 6.31
- total magnetization (μB/atom) = 0.000
- formation energy without anion corrections (eV per atom) = 0.38
- final energy (eV/atom) = -4.617

Cell: 4.356 4.356 4.356 Å, 90.00 90.00 90.00°
Positions (direct):
Zr1 0.500 0.500 0.500
Cu1 0.000 0.500 0.000
Cu2 0.000 0.000 0.500
Cu3 0.500 0.000 0.000
S1 0.000 0.000 0.000

***

# 12
Entry from Alexandria via LeMat-Bulk: RuPt3I after structural relaxation (PBE).

Values from the calculation:
- V (Å³/atom) = 22.92
- theoretical density (Mg/m³) = 11.78
- total magnetization (μB/atom) = 0.000
- formation energy without anion corrections (eV per atom) = 1.28
- final energy (eV/atom) = -4.507

Cell: 4.857 4.857 4.857 Å, 90.00 90.00 90.00°
Positions (direct):
Pt1 0.000 0.500 0.000
Pt2 0.500 0.000 0.000
Ru1 0.000 0.000 0.000
Pt3 0.000 0.000 0.500
I1 0.500 0.500 0.500

***

Q: Which of these has the lowest final energy?
A: CrIrPt2

***

Q: Look up the final energy of the eleventh one.
A: -4.617 eV/atom

***

Q: Among the records above, which one has the lowest final energy?
A: CrIrPt2

***

Q: theoretical density of number 8 (RbSr2YAu)?
A: 3.83 Mg/m³